Arrangement P

Material: Pm12DyTm6
Method: DFT, GGA-PBE
State: optimized geometry

Calculated values
Magnetic moment (μB per formula unit): 0.00

Cell: 15.6476 15.6476 8.8093 Å, 90.00 90.00 120.00°
Space group R-3 (No. 148, hexagonal axes)
Symmetry-distinct sites (fractional):
1 Pm 0.0354 0.7559 0.3356 (multiplicity 18)
2 Pm 0.0708 0.5089 0.6663 (multiplicity 18)
3 Dy 0.0000 0.0000 0.0000 (multiplicity 3)
4 Tm 0.0170 0.8794 0.6656 (multiplicity 18)

---

Arrangement Q

Material: Pm12DyTm6
Method: DFT, GGA-PBE
State: optimized geometry

Calculated values
Magnetic moment (μB per formula unit): 0.00

Cell: 12.0523 12.0523 15.2112 Å, 90.00 90.00 120.00°
Space group R-3 (No. 148, hexagonal axes)
Symmetry-distinct sites (fractional):
1 Pm 0.0030 0.8285 0.1916 (multiplicity 18)
2 Pm 0.0468 0.8494 0.4162 (multiplicity 18)
3 Dy 0.0000 0.0000 0.0000 (multiplicity 3)
4 Tm 0.0157 0.4282 0.6870 (multiplicity 18)

---

Which one sits at the bottom of the stability order? arrangement Q does.